No. 1
{"formula": "RbAlSn2Cl8", "functional": "GGA-PBE", "state": "relaxed", "formation_energy_uncorrected_kj_per_mol_atoms": -126.6, "spacegroup": "P-1, No. 2", "rho_g_cm3": 2.74, "lattice_angstrom": [[6.2307, 0.0000, 0.0000], [-0.0817, 7.4951, 0.0000], [-2.1643, -2.0712, 8.2335]], "species": ["Rb", "Al", "Sn", "Sn", "Cl", "Cl", "Cl", "Cl", "Cl", "Cl", "Cl", "Cl"], "frac_coords": [[0.0000, 0.0000, 0.0000], [0.0000, 0.0000, 0.5000], [0.4778, 0.3827, 0.7409], [0.5222, 0.6173, 0.2591], [0.1621, 0.7361, 0.3822], [0.1839, 0.1842, 0.3938], [0.2612, 0.6175, 0.9765], [0.3088, 0.0605, 0.7443], [0.6912, 0.9395, 0.2557], [0.7388, 0.3825, 0.0235], [0.8161, 0.8158, 0.6062], [0.8379, 0.2639, 0.6178]]}



No. 2
{"formula": "Rb2AlSnCl6", "functional": "GGA-PBE", "state": "relaxed", "formation_energy_uncorrected_kj_per_mol_atoms": -136.4, "spacegroup": "I4/mmm, No. 139", "rho_g_cm3": 2.91, "lattice_angstrom": [[-3.7658, 3.7658, 5.3218], [3.7658, -3.7658, 5.3218], [3.7658, 3.7658, -5.3218]], "species": ["Rb", "Rb", "Al", "Sn", "Cl", "Cl", "Cl", "Cl", "Cl", "Cl"], "frac_coords": [[0.2500, 0.7500, 0.5000], [0.7500, 0.2500, 0.5000], [0.0000, 0.0000, 0.0000], [0.5000, 0.5000, 0.0000], [0.2278, 0.2278, 0.0000], [0.2288, 0.2288, 0.4575], [0.2288, 0.7712, 0.0000], [0.7712, 0.2288, 0.0000], [0.7712, 0.7712, 0.5425], [0.7722, 0.7722, 0.0000]]}



No. 3
{"formula": "Rb2SrAlCl6", "functional": "GGA-PBE", "state": "relaxed", "formation_energy_uncorrected_kj_per_mol_atoms": -170.1, "spacegroup": "Fm-3m, No. 225", "rho_g_cm3": 2.59, "lattice_angstrom": [[0.0000, 5.4244, 5.4244], [5.4244, 0.0000, 5.4244], [5.4244, 5.4244, 0.0000]], "species": ["Rb", "Rb", "Sr", "Al", "Cl", "Cl", "Cl", "Cl", "Cl", "Cl"], "frac_coords": [[0.2500, 0.2500, 0.2500], [0.7500, 0.7500, 0.7500], [0.0000, 0.0000, 0.0000], [0.5000, 0.5000, 0.5000], [0.2636, 0.2636, 0.7364], [0.2636, 0.7364, 0.2636], [0.2636, 0.7364, 0.7364], [0.7364, 0.2636, 0.2636], [0.7364, 0.2636, 0.7364], [0.7364, 0.7364, 0.2636]]}



No. 4
{"formula": "RbSrAl2Cl8", "functional": "GGA-PBE", "state": "relaxed", "formation_energy_uncorrected_kj_per_mol_atoms": -158.5, "spacegroup": "R-3, No. 148", "rho_g_cm3": 2.14, "lattice_angstrom": [[3.4070, 1.9670, 9.8481], [-3.4070, 1.9670, 9.8481], [0.0000, -3.9341, 9.8481]], "species": ["Rb", "Sr", "Al", "Al", "Cl", "Cl", "Cl", "Cl", "Cl", "Cl", "Cl", "Cl"], "frac_coords": [[0.0000, 0.0000, 0.0000], [0.5000, 0.5000, 0.5000], [0.2503, 0.2503, 0.2503], [0.7497, 0.7497, 0.7497], [0.0803, 0.7874, 0.4525], [0.2126, 0.5475, 0.9197], [0.3241, 0.3241, 0.3241], [0.4525, 0.0803, 0.7874], [0.5475, 0.9197, 0.2126], [0.6759, 0.6759, 0.6759], [0.7874, 0.4525, 0.0803], [0.9197, 0.2126, 0.5475]]}